Arrangement P

Ac3C after structural relaxation. Source: the Alexandria database, functional PBE.

abc: 6.776 6.776 6.776
angles: 148.45 68.72 120.71
Fractional coordinates of all 4 atoms:
Ac 0.000 0.000 0.000
Ac 0.293 0.452 0.841
Ac 0.611 0.452 0.159
C 0.295 0.795 0.500

=====

Arrangement Q

Ac3C after structural relaxation. Source: the Alexandria database, functional PBE.

abc: 4.551 5.156 6.537
angles: 90.00 90.00 90.00
Fractional coordinates of all 4 atoms:
Ac 0.000 0.000 0.000
Ac 0.000 0.500 0.497
Ac 0.500 0.000 0.425
C 0.500 0.500 0.297

=====

Best to worst by energy: arrangement P, arrangement Q.

=====

Arrangement P

AcCdC after structural relaxation. Source: the Alexandria database, functional PBE.

abc: 4.073 4.530 9.670
angles: 81.18 78.20 65.53
Fractional coordinates of all 6 atoms:
Ac 0.000 0.000 0.000
Ac 0.426 0.470 0.673
Cd 0.197 0.148 0.401
Cd 0.577 0.562 0.262
C 0.650 0.885 0.805
C 0.777 0.582 0.866

=====

Arrangement Q

AcCdC after structural relaxation. Source: the Alexandria database, functional PBE.

abc: 4.678 4.678 9.423
angles: 106.33 106.33 52.86
Fractional coordinates of all 6 atoms:
Ac 0.088 0.088 0.328
Ac 0.912 0.912 0.672
Cd 0.326 0.326 0.943
Cd 0.674 0.674 0.057
C 0.417 0.417 0.470
C 0.583 0.583 0.530

=====

Best to worst by energy: arrangement Q, arrangement P.

=====

Arrangement P

AcCoC after structural relaxation. Source: the Alexandria database, functional PBE.

abc: 3.568 3.568 4.446
angles: 90.00 90.00 120.00
Fractional coordinates of all 3 atoms:
Ac 0.000 0.000 0.000
Co 0.667 0.333 0.500
C 0.333 0.667 0.500

=====

Arrangement Q

AcCoC after structural relaxation. Source: the Alexandria database, functional PBE.

abc: 5.270 5.270 5.270
angles: 145.28 145.28 49.91
Fractional coordinates of all 3 atoms:
Ac 0.000 0.000 0.000
Co 0.268 0.268 0.000
C 0.716 0.716 0.000

=====

Arrangement R

AcCoC after structural relaxation. Source: the Alexandria database, functional PBE.

abc: 4.175 4.290 6.535
angles: 100.22 97.95 98.19
Fractional coordinates of all 6 atoms:
Ac 0.187 0.414 0.246
Ac 0.813 0.586 0.754
Co 0.297 0.031 0.625
Co 0.703 0.969 0.375
C 0.434 0.029 0.907
C 0.566 0.971 0.093

=====

Best to worst by energy: arrangement R, arrangement P, arrangement Q.